(1)
Compound: Si4SbOs
Source: the Alexandria database
Functional: GGA-PBE
Structure: relaxed

Lattice parameters (Å, degrees): 5.1538 5.1538 5.1538 60.00 60.00 60.00
Closest atoms and distances in Å follow each position.
Element x y z (fractional)
Si  0.1248  0.1248  0.1248  6 Si 2.57-2.58
Si  0.1248  0.1248  0.6256  6 Si 2.57-2.58
Si  0.1248  0.6256  0.1248  6 Si 2.57-2.58
Si  0.6256  0.1248  0.1248  6 Si 2.57-2.58
Sb  0.7500  0.7500  0.7500  12 Si 3.02, 4 Os 3.16
Os  0.5000  0.5000  0.5000  12 Si 3.02, 4 Sb 3.16

DOS(E_F)   1.306 states/eV per atom
ΔE_f (raw)   500 kJ/mol of formula units


(2)
Compound: SiSbOs
Source: the Alexandria database
Functional: GGA-PBE
Structure: relaxed

Lattice parameters (Å, degrees): 3.2826 3.2826 5.8108 90.00 90.00 120.00
Closest atoms and distances in Å follow each position.
Element x y z (fractional)
Si  0.0000  0.0000  0.0000  3 Os 2.43
Sb  0.3333  0.6667  0.6081  3 Os 2.77, 3 Si 2.96
Os  0.6667  0.3333  0.2613  3 Si 2.43

DOS(E_F)   0.719 states/eV per atom
ΔE_f (raw)   78 kJ/mol of formula units
Offset from the most stable computed form   310 meV/atom


(3)
Compound: SiSbOs
Source: the Alexandria database
Functional: GGA-PBE
Structure: relaxed

Lattice parameters (Å, degrees): 5.9724 5.9724 6.5868 94.60 94.60 30.67
Closest atoms and distances in Å follow each position.
Element x y z (fractional)
Si  0.1014  0.1014  0.4721  1 Si 2.40, 3 Os 2.41-2.44
Si  0.8986  0.8986  0.5279  1 Si 2.40, 3 Os 2.41-2.44
Sb  0.1270  0.1270  0.9971  3 Os 2.71-2.77, 1 Sb 2.93
Sb  0.8730  0.8730  0.0029  3 Os 2.71-2.77, 1 Sb 2.93
Os  0.2813  0.2813  0.6958  3 Si 2.41-2.44
Os  0.7187  0.7187  0.3042  3 Si 2.41-2.44

DOS(E_F)   0.339 states/eV per atom
ΔE_f (raw)   19 kJ/mol of formula units
Offset from the most stable computed form   108 meV/atom